A plane-wave DFT calculation with PBE was carried out for crystalline CsRbPd3 at its relaxed geometry.

```
data_CsRbPd3
_chemical_formula_sum 'Cs1 Rb1 Pd3'
_cell_length_a 5.564
_cell_length_b 5.564
_cell_length_c 5.564
_cell_angle_alpha 90.00
_cell_angle_beta 90.00
_cell_angle_gamma 90.00
_symmetry_space_group_name_H-M 'P m -3 m'
_symmetry_Int_Tables_number 221
_symmetry_space_group_name_Hall '-P 4 2 3'
loop_
_atom_site_label
_atom_site_type_symbol
_atom_site_fract_x
_atom_site_fract_y
_atom_site_fract_z
Cs1 Cs 0.000 0.000 0.000
Rb1 Rb 0.500 0.500 0.500
Pd1 Pd 0.000 0.500 0.500
```

## Properties
As for the energy above the lowest structure with this stoichiometry: 33.9 meV/atom. The calculation puts the formation energy at 0.934 eV/atom. The calculation puts the uncorrected energy at -12.7 eV per cell. The calculation puts the size of the total moment at 0.00 μB per formula unit. For the theoretical density, the calculation gives 5.2 g/cm3.